No. 1
First-principles (PBE) data for a geometry-optimized LiNd2IrO5 structure, as listed in the Alexandria database.

**Uncorrected energy**: -64.071 eV/f.u.
**Energy relative to the elements, uncorrected**: -2108 meV per atom

Cell: 6.663 6.663 6.663 Å, 144.73 127.13 65.16°
Atoms (fractional coordinates):
Li1 0.000 0.000 0.000
Nd1 0.289 0.789 0.500
Nd2 0.711 0.211 0.500
Ir1 0.500 0.500 0.000
O1 0.129 0.357 0.772
O2 0.414 0.643 0.772
O3 0.500 0.000 0.500
O4 0.586 0.357 0.228
O5 0.871 0.643 0.228

***

No. 2
First-principles (PBE) data for a geometry-optimized LiNd2P3Ir4 structure, as listed in the Alexandria database.

**Energy of formation**: -9.23 eV per formula unit
**Uncorrected energy**: -72.355 eV/f.u.

Cell: 4.096 4.096 9.906 Å, 90.00 90.00 90.00°
Atoms (fractional coordinates):
Li1 0.000 0.000 0.000
Nd1 0.000 0.500 0.756
Nd2 0.500 0.000 0.244
P1 0.000 0.500 0.362
P2 0.500 0.000 0.638
P3 0.500 0.500 0.000
Ir1 0.000 0.000 0.500
Ir2 0.000 0.500 0.129
Ir3 0.500 0.000 0.871
Ir4 0.500 0.500 0.500

***

No. 3
First-principles (PBE) data for a geometry-optimized LiNdPaIr structure, as listed in the Alexandria database.

**Energy of formation**: -0.60 eV per formula unit
**Uncorrected energy**: -25.634 eV/f.u.

Cell: 7.056 7.056 7.056 Å, 90.00 90.00 90.00°
Atoms (fractional coordinates):
Li1 0.000 0.000 0.000
Li2 0.000 0.500 0.500
Li3 0.500 0.000 0.500
Li4 0.500 0.500 0.000
Nd1 0.250 0.250 0.750
Nd2 0.250 0.750 0.250
Nd3 0.750 0.250 0.250
Nd4 0.750 0.750 0.750
Pa1 0.250 0.250 0.250
Pa2 0.250 0.750 0.750
Pa3 0.750 0.250 0.750
Pa4 0.750 0.750 0.250
Ir1 0.000 0.000 0.500
Ir2 0.000 0.500 0.000
Ir3 0.500 0.000 0.000
Ir4 0.500 0.500 0.500

***

No. 4
First-principles (PBE) data for a geometry-optimized LiNdIrPb structure, as listed in the Alexandria database.

**Energy of formation**: -1.59 eV per formula unit
**Uncorrected energy**: -20.837 eV/f.u.

Cell: 6.929 6.929 6.929 Å, 90.00 90.00 90.00°
Atoms (fractional coordinates):
Li1 0.000 0.000 0.000
Li2 0.000 0.500 0.500
Li3 0.500 0.000 0.500
Li4 0.500 0.500 0.000
Nd1 0.250 0.250 0.250
Nd2 0.250 0.750 0.750
Nd3 0.750 0.250 0.750
Nd4 0.750 0.750 0.250
Ir1 0.000 0.000 0.500
Ir2 0.000 0.500 0.000
Ir3 0.500 0.000 0.000
Ir4 0.500 0.500 0.500
Pb1 0.250 0.250 0.750
Pb2 0.250 0.750 0.250
Pb3 0.750 0.250 0.250
Pb4 0.750 0.750 0.750